Version P
This record from the Alexandria database describes a relaxed structure of MnCoGe2. The functional is PBE.

Geometry as POSCAR:
```
MnCoGe2
1.0
6.7282 0.0000 0.0000
0.0000 6.7282 0.0000
3.3641 3.3641 2.6694
Mn Co Ge
2 2 4
Cartesian
3.3641 3.3641 0.0000 Mn
3.3641 6.7282 1.3347 Mn
0.0000 0.0000 0.0000 Co
6.7282 3.3641 1.3347 Co
5.0461 4.8493 2.0020 Ge
5.2429 1.6820 0.6673 Ge
8.4102 8.6070 2.0020 Ge
1.4852 5.0461 0.6673 Ge
```

Computed properties:
Space-group type ... I-42d, No. 122
Density of states at the Fermi level ... 5.54 states/eV/cell



Version Q
This record from the Alexandria database describes a relaxed structure of MnCoGe2. The functional is PBE.

Geometry as POSCAR:
```
MnCoGe2
1.0
1.0750 -3.9534 0.3762
-1.7908 -2.8526 -2.3628
2.1479 -1.8410 -2.9874
Mn Ge Co
1 2 1
Cartesian
0.0000 0.0000 0.0000 Mn
0.3580 -2.1617 -1.2435 Ge
1.0741 -6.4852 -3.7305 Ge
0.7160 -4.3235 -2.4870 Co
```

Computed properties:
Space-group type ... Fm-3m, No. 225
Density of states at the Fermi level ... 0.43 states/eV/cell



Version R
This record from the Alexandria database describes a relaxed structure of MnCoGe2. The functional is PBE.

Geometry as POSCAR:
```
MnCoGe2
1.0
-2.5833 -0.3596 -1.2248
-0.4217 -2.1530 -1.8679
-3.3233 -5.9280 5.3605
Ge Mn Co
2 1 1
Cartesian
-3.6765 -3.9851 -1.2438 Ge
-2.6517 -4.4555 3.5117 Ge
0.0000 0.0000 0.0000 Mn
-3.1641 -4.2203 1.1339 Co
```

Computed properties:
Space-group type ... R-3m, No. 166
Density of states at the Fermi level ... 3.24 states/eV/cell



Version S
This record from the Alexandria database describes a relaxed structure of MnCoGe2. The functional is PBE.

Geometry as POSCAR:
```
MnCoGe2
1.0
3.9054 0.0000 0.0000
1.9527 3.3822 0.0000
1.9527 1.1274 4.5228
Ge Mn Co
2 1 1
Cartesian
1.9527 1.1274 3.6244 Ge
1.9527 1.1274 0.9012 Ge
3.9054 2.2548 2.4016 Mn
5.8581 3.3822 4.3797 Co
```

Computed properties:
Space-group type ... R3m, No. 160
Density of states at the Fermi level ... 2.14 states/eV/cell



Most stable one: version S, least stable one: version P.



Version P
This record from the Alexandria database describes a relaxed structure of Mn2Co3Ge. The functional is PBE.

Geometry as POSCAR:
```
Mn2Co3Ge
1.0
4.0533 0.0000 0.0162
2.0267 6.1259 0.0081
-0.0228 0.0000 5.6995
Co Mn Ge
6 4 2
Cartesian
2.0097 0.0000 4.2549 Co
4.0361 2.0658 4.3101 Co
2.0095 4.0601 4.3020 Co
2.0210 4.0601 1.4137 Co
4.0477 2.0658 1.4219 Co
2.0208 0.0000 1.4609 Co
4.0419 4.0810 2.8660 Mn
0.0000 0.0000 0.0000 Mn
-0.0114 0.0000 2.8498 Mn
2.0152 2.0450 2.8579 Mn
2.0267 1.9430 0.0081 Ge
4.0533 4.1829 0.0162 Ge
```

Computed properties:
Space-group type ... Cmmm, No. 65
Density of states at the Fermi level ... 7.86 states/eV/cell



Version Q
This record from the Alexandria database describes a relaxed structure of Mn2Co3Ge. The functional is PBE.

Geometry as POSCAR:
```
Mn2Co3Ge
1.0
2.3972 -4.1521 0.0000
2.3972 4.1521 0.0000
0.0000 0.0000 7.5535
Mn Co Ge
4 6 2
Cartesian
2.3972 1.3840 0.4909 Mn
2.3972 -1.3840 7.0626 Mn
2.3972 1.3840 3.2858 Mn
2.3972 -1.3840 4.2677 Mn
1.2484 0.7208 5.6651 Co
3.5459 0.7208 5.6651 Co
2.3972 2.7105 5.6651 Co
2.3972 -2.7105 1.8884 Co
1.2484 -0.7208 1.8884 Co
3.5459 -0.7208 1.8884 Co
0.0000 0.0000 3.7767 Ge
0.0000 0.0000 0.0000 Ge
```

Computed properties:
Space-group type ... P6_3/mmc, No. 194
Density of states at the Fermi level ... 13.79 states/eV/cell



Most stable one: version P, least stable one: version Q.



Version P
This record from the Alexandria database describes a relaxed structure of MnCo5Ge3. The functional is PBE.

Geometry as POSCAR:
```
MnCo5Ge3
1.0
5.9300 0.0000 0.0000
0.0000 5.9300 0.0000
-2.9650 -2.9650 6.6901
Ge Co Mn
6 10 2
Cartesian
0.0000 0.0000 3.3450 Ge
2.9650 2.9650 3.3450 Ge
3.7750 0.8100 0.0000 Ge
2.1550 5.1200 0.0000 Ge
0.8100 2.1550 0.0000 Ge
5.1200 3.7750 0.0000 Ge
4.3742 4.5208 2.0202 Co
-1.5558 1.4092 4.6698 Co
4.5208 1.5558 2.0202 Co
-1.4092 -1.5558 4.6698 Co
2.9650 2.9650 0.0000 Co
1.4092 4.3742 2.0202 Co
1.5558 1.4092 2.0202 Co
1.5558 -1.4092 4.6698 Co
0.0000 0.0000 0.0000 Co
1.4092 1.5558 4.6698 Co
0.0000 2.9650 3.3450 Mn
2.9650 0.0000 3.3450 Mn
```

Computed properties:
Space-group type ... I4/mcm, No. 140
Density of states at the Fermi level ... 21.45 states/eV/cell



Version Q
This record from the Alexandria database describes a relaxed structure of MnCo5Ge3. The functional is PBE.

Geometry as POSCAR:
```
MnCo5Ge3
1.0
5.0486 0.0000 0.0000
0.0000 6.0358 -3.4848
0.0000 0.0000 6.9695
Co Mn Ge
10 2 6
Cartesian
1.2622 0.0001 4.7067 Co
0.0000 2.0119 3.4847 Co
0.0000 4.0239 -0.0001 Co
2.5243 2.0119 3.4847 Co
3.7865 4.0761 2.3533 Co
2.5243 4.0239 -0.0001 Co
1.2622 4.0763 -2.3535 Co
3.7865 6.0357 -1.2221 Co
1.2622 1.9597 1.1313 Co
3.7865 1.9595 -1.1314 Co
0.0000 0.0000 0.0000 Mn
2.5243 0.0000 0.0000 Mn
3.7865 3.9559 -2.2839 Ge
1.2622 3.9560 2.2838 Ge
3.7865 2.0798 1.2008 Ge
1.2622 0.0001 2.4016 Ge
3.7865 6.0357 1.0831 Ge
1.2622 2.0800 -1.2009 Ge
```

Computed properties:
Space-group type ... P6_3/mcm, No. 193
Density of states at the Fermi level ... 18.48 states/eV/cell



Most stable one: version Q, least stable one: version P.



Version P
This record from the Alexandria database describes a relaxed structure of MnCoTcGeSe. The functional is PBE.

Geometry as POSCAR:
```
MnCoTcGeSe
1.0
2.8097 0.0001 -0.0015
0.1541 3.7309 0.0071
0.0726 0.6606 7.2988
Tc Co Se Ge Mn
1 1 1 1 1
Cartesian
0.9634 1.6866 3.3831 Tc
1.0865 1.6320 5.7862 Co
1.0499 0.8042 0.8013 Se
2.5648 3.5054 5.0177 Ge
2.6412 3.5761 2.4121 Mn
```

Computed properties:
Space-group type ... P1, No. 1
Density of states at the Fermi level ... 2.91 states/eV/cell



Version Q
This record from the Alexandria database describes a relaxed structure of MnCoTcGeSe. The functional is PBE.

Geometry as POSCAR:
```
MnCoTcGeSe
1.0
-3.1954 1.5427 2.7606
-0.5214 -2.0336 3.2821
2.7547 3.3710 2.5249
Se Co Mn Tc Ge
1 1 1 1 1
Cartesian
-2.0825 1.2859 2.1677 Se
-0.9037 3.3929 5.9720 Co
0.5659 0.4171 2.0492 Mn
-0.4112 2.7195 3.3207 Tc
0.5259 0.8821 4.6434 Ge
```

Computed properties:
Space-group type ... Cm, No. 8
Density of states at the Fermi level ... 3.40 states/eV/cell



Version R
This record from the Alexandria database describes a relaxed structure of MnCoTcGeSe. The functional is PBE.

Geometry as POSCAR:
```
MnCoTcGeSe
1.0
3.0412 -0.0447 0.0324
-1.4647 4.1642 -0.0064
-0.0955 -2.2625 6.2485
Se Tc Ge Co Mn
1 1 1 1 1
Cartesian
0.9651 1.3989 6.1943 Se
0.9919 0.1261 1.8632 Tc
2.4851 -0.4161 3.9529 Ge
-0.4884 1.9065 0.1166 Co
-0.5121 1.9685 2.8192 Mn
```

Computed properties:
Space-group type ... Cm, No. 8
Density of states at the Fermi level ... 3.90 states/eV/cell



Version S
This record from the Alexandria database describes a relaxed structure of MnCoTcGeSe. The functional is PBE.

Geometry as POSCAR:
```
MnCoTcGeSe
1.0
5.4501 0.0000 -0.0064
0.0000 4.1261 0.0000
-0.5929 0.0000 6.9105
Ge Co Mn Tc Se
2 2 2 2 2
Cartesian
3.0741 2.0631 2.2076 Ge
2.7776 0.0000 5.6628 Ge
-0.1825 0.0000 5.9347 Co
0.1140 2.0631 2.4795 Co
1.7951 2.0631 4.4122 Mn
2.0916 0.0000 0.9570 Mn
1.3117 2.0631 6.6918 Tc
1.6082 0.0000 3.2365 Tc
5.2151 0.0000 1.3548 Se
4.9186 2.0631 4.8100 Se
```

Computed properties:
Space-group type ... Cm, No. 8
Density of states at the Fermi level ... 8.22 states/eV/cell



Most stable one: version Q, least stable one: version R.